CdIn2Si at its PBEsol-relaxed geometry. Source: Alexandria via LeMat-Bulk, functional SCAN.

total magnetic moment: 0.00 μB per atom
uncorrected energy: -26.44 eV/atom
ρ: 7.06 Mg/m³
E_form (uncorrected): 0.3595 eV per atom

a b c (Å): 4.248 4.860 5.312
angles (deg): 117.23 113.57 90.00
Element x y z (fractional)
In 0.241 0.241 0.482
In 0.759 0.759 0.518
Cd 0.000 0.500 0.000
Si 0.500 0.000 0.000